[1]
## Ho3ZrPa2N6 (PBE)

Data for a relaxed Ho3ZrPa2N6 crystal.

POSCAR file:
```
Ho3ZrPa2N6
1.0
2.974 -5.157 0.000
2.974 5.157 0.000
-1.964 0.000 5.619
Ho Zr Pa N
3 1 2 6
Direct
0.000 0.000 0.000
0.336 0.664 0.000
0.664 0.336 0.000
0.500 0.500 0.500
0.167 0.833 0.500
0.833 0.167 0.500
0.086 0.421 0.263
0.247 0.247 0.743
0.421 0.086 0.263
0.579 0.914 0.737
0.753 0.753 0.257
0.914 0.579 0.737
```

Output
ΔE_f (raw) ... -1.704 eV per atom
N(E_F) ... 5.00 states/eV/cell

[2]
## SrTi2BSe (PBE)

Data for a relaxed SrTi2BSe crystal.

POSCAR file:
```
SrTi2BSe
1.0
5.072 0.000 0.000
0.000 5.072 0.000
0.000 0.000 4.278
Sr Ti B Se
1 2 1 1
Direct
0.000 0.000 0.000
0.000 0.500 0.000
0.500 0.000 0.000
0.000 0.000 0.500
0.500 0.500 0.500
```

Output
ΔE_f (raw) ... 2.087 eV per atom
N(E_F) ... 5.69 states/eV/cell

[3]
## Nb2In2Pb (PBE)

Data for a relaxed Nb2In2Pb crystal.

POSCAR file:
```
Nb2In2Pb
1.0
8.824 0.000 0.000
0.000 8.824 0.000
0.000 0.000 3.018
Nb In Pb
4 4 2
Direct
0.107 0.393 0.000
0.393 0.893 0.000
0.607 0.107 0.000
0.893 0.607 0.000
0.181 0.681 0.500
0.319 0.181 0.500
0.681 0.819 0.500
0.819 0.319 0.500
0.000 0.000 0.500
0.500 0.500 0.500
```

Output
N(E_F) ... 4.37 states/eV/cell
Energy above the most stable polymorph in this dataset ... 83.3 meV per atom
ΔH_f (0 K) ... 0.2778 eV/atom

[4]
## YPbAu2 (PBE)

Data for a relaxed YPbAu2 crystal.

POSCAR file:
```
YPbAu2
1.0
3.732 0.000 0.000
0.000 3.775 0.000
0.000 0.000 6.732
Y Pb Au
1 1 2
Direct
0.000 0.000 0.000
0.000 0.000 0.500
0.500 0.500 0.224
0.500 0.500 0.776
```

Output
N(E_F) ... 1.03 states/eV/cell
ΔH_f (0 K) ... -0.5818 eV/atom

[5]
## HgIrW (PBE)

Data for a relaxed HgIrW crystal.

POSCAR file:
```
HgIrW
1.0
0.000 3.088 3.088
3.088 0.000 3.088
3.088 3.088 0.000
Hg Ir W
1 1 1
Direct
0.000 0.000 0.000
0.250 0.250 0.250
0.500 0.500 0.500
```

Output
N(E_F) ... 5.91 states/eV/cell
Energy above the most stable polymorph in this dataset ... 425.1 meV per atom
ΔH_f (0 K) ... 0.6619 eV/atom

[6]
## Co2TcMo (PBE)

Data for a relaxed Co2TcMo crystal.

POSCAR file:
```
Co2TcMo
1.0
0.000 2.983 2.983
2.983 0.000 2.983
2.983 2.983 0.000
Co Tc Mo
2 1 1
Direct
0.000 0.000 0.000
0.250 0.250 0.250
0.750 0.750 0.750
0.500 0.500 0.500
```

Output
N(E_F) ... 7.39 states/eV/cell
Energy above the most stable polymorph in this dataset ... 258.4 meV per atom
ΔH_f (0 K) ... 0.2259 eV/atom